Entry 1:
A plane-wave DFT calculation with PBE-GGA was carried out for a geometry-optimized Tb4SmAl4 structure.

Values from the calculation:
* space-group type: No. 86
* ΔH_f (0 K): -1.36 eV per formula unit
* calculated volume: 25.39 Å³/atom

abc: 5.8648 8.8279 8.8279
angles: 90.00 90.00 90.00
Last column: nearest neighbours and their distance in Å.
Fractional positions:
Al (0.9056, 0.4047, 0.6951)  2 Al 2.93, 1 Sm 3.06, 3 Tb 3.07-3.18
Al (0.5944, 0.9047, 0.1951)  2 Al 2.93, 1 Sm 3.06, 3 Tb 3.07-3.18
Sm (0.0000, 0.0000, 0.0000)  4 Al 3.06, 4 Tb 3.09
Tb (0.1146, 0.9262, 0.3335)  5 Al 3.07-3.40, 1 Sm 3.09, 1 Tb 3.22
Tb (0.8854, 0.6665, 0.9262)  5 Al 3.07-3.40, 1 Sm 3.09, 1 Tb 3.22
Tb (0.3854, 0.5738, 0.1665)  5 Al 3.07-3.40, 1 Sm 3.09, 1 Tb 3.22
Al (0.4056, 0.8049, 0.9047)  2 Al 2.93, 1 Sm 3.06, 3 Tb 3.07-3.18
Tb (0.8854, 0.3335, 0.0738)  5 Al 3.07-3.40, 1 Sm 3.09, 1 Tb 3.22
Sm (0.5000, 0.5000, 0.5000)  4 Al 3.06, 4 Tb 3.09
Tb (0.1146, 0.0738, 0.6665)  5 Al 3.07-3.40, 1 Sm 3.09, 1 Tb 3.22
Al (0.0944, 0.6951, 0.5953)  2 Al 2.93, 1 Sm 3.06, 3 Tb 3.07-3.18
Al (0.0944, 0.3049, 0.4047)  2 Al 2.93, 1 Sm 3.06, 3 Tb 3.07-3.18
Tb (0.6146, 0.8335, 0.5738)  5 Al 3.07-3.40, 1 Sm 3.09, 1 Tb 3.22
Tb (0.3854, 0.4262, 0.8335)  5 Al 3.07-3.40, 1 Sm 3.09, 1 Tb 3.22
Tb (0.6146, 0.1665, 0.4262)  5 Al 3.07-3.40, 1 Sm 3.09, 1 Tb 3.22
Al (0.4056, 0.1951, 0.0953)  2 Al 2.93, 1 Sm 3.06, 3 Tb 3.07-3.18
Al (0.9056, 0.5953, 0.3049)  2 Al 2.93, 1 Sm 3.06, 3 Tb 3.07-3.18
Al (0.5944, 0.0953, 0.8049)  2 Al 2.93, 1 Sm 3.06, 3 Tb 3.07-3.18

=====

Entry 2:
A plane-wave DFT calculation with PBE-GGA was carried out for a geometry-optimized K3TiS4 structure.

Values from the calculation:
* formation energy without anion corrections: -1073 meV/atom
* space-group type: No. 5
* calculated volume: 40.66 Å³/atom

abc: 9.1831 8.5180 8.5180
angles: 51.30 45.30 45.30
Last column: nearest neighbours and their distance in Å.
Fractional positions:
S (0.3029, 0.3079, 0.6854)  1 Ti 2.26
K (0.1776, 0.2898, 0.1594)  4 S 3.13-3.44
S (0.7390, 0.4470, 0.1533)  1 Ti 2.26
K (0.8224, 0.8406, 0.7102)  4 S 3.13-3.44
S (0.2610, 0.8467, 0.5530)  1 Ti 2.26
K (0.0000, 0.1170, 0.8830)  4 S 3.09-3.13
S (0.6971, 0.3146, 0.6921)  1 Ti 2.26
Ti (0.5000, 0.4874, 0.5126)  4 S 2.26